Entry 1:
Computed, not measured: crystalline NdDyAg2 at its relaxed geometry at the GGA-PBE level of DFT.

Properties
ΔH_f (0 K) (meV/atom): -282
Energy above the lowest structure with this stoichiometry (kcal/mol of atoms): 0.47

Unit cell a=4.820 b=7.355 c=5.743 alpha=90.00 beta=90.00 gamma=90.00
Atoms (fractional coordinates):
Nd 0.000 0.069 0.000
Nd 0.500 0.931 0.500
Dy 0.000 0.570 0.217
Dy 0.500 0.430 0.717
Ag 0.000 0.227 0.504
Ag 0.000 0.696 0.719
Ag 0.500 0.304 0.219
Ag 0.500 0.773 0.004

=====

Entry 2:
Computed, not measured: crystalline NdDy4Ag5 at its relaxed geometry at the GGA-PBE level of DFT.

Properties
ΔH_f (0 K) (meV/atom): -321

Unit cell a=3.633 b=3.633 c=18.350 alpha=90.00 beta=90.00 gamma=90.00
Atoms (fractional coordinates):
Nd 0.000 0.000 0.000
Dy 0.000 0.000 0.205
Dy 0.000 0.000 0.401
Dy 0.000 0.000 0.599
Dy 0.000 0.000 0.795
Ag 0.500 0.500 0.109
Ag 0.500 0.500 0.303
Ag 0.500 0.500 0.500
Ag 0.500 0.500 0.697
Ag 0.500 0.500 0.891

=====

Entry 3:
Computed, not measured: crystalline NdDyAg2P4 at its relaxed geometry at the GGA-PBE level of DFT.

Properties
VASP energy (eV per atom): -5.2827

Unit cell a=3.886 b=3.886 c=10.289 alpha=90.00 beta=90.00 gamma=90.00
Atoms (fractional coordinates):
Nd 0.000 0.000 0.000
Dy 0.500 0.500 0.556
Ag 0.000 0.500 0.284
Ag 0.500 0.000 0.284
P 0.000 0.000 0.465
P 0.000 0.500 0.772
P 0.500 0.000 0.772
P 0.500 0.500 0.103

=====

Entry 4:
Computed, not measured: crystalline NdDyAg2Pb2 at its relaxed geometry at the GGA-PBE level of DFT.

Properties
VASP energy (eV per atom): -4.1723

Unit cell a=4.836 b=4.836 c=7.533 alpha=90.00 beta=90.00 gamma=120.00
Atoms (fractional coordinates):
Nd 0.000 0.000 0.000
Dy 0.000 0.000 0.501
Ag 0.333 0.667 0.199
Ag 0.667 0.333 0.684
Pb 0.333 0.667 0.776
Pb 0.667 0.333 0.285

=====

Entry 5:
Computed, not measured: crystalline Nd2DySi4Ag4 at its relaxed geometry at the GGA-PBE level of DFT.

Properties
VASP energy (eV per atom): -4.7562

Unit cell a=13.161 b=13.161 c=13.161 alpha=161.89 beta=161.30 gamma=26.15
Atoms (fractional coordinates):
Nd 0.147 0.147 0.000
Nd 0.853 0.853 0.000
Dy 0.500 0.000 0.500
Si 0.045 0.545 0.500
Si 0.311 0.311 0.000
Si 0.689 0.689 0.000
Si 0.955 0.455 0.500
Ag 0.249 0.749 0.500
Ag 0.407 0.407 0.000
Ag 0.593 0.593 0.000
Ag 0.751 0.251 0.500

=====

Entry 6:
Computed, not measured: crystalline Nd2DyAg4Sn4 at its relaxed geometry at the GGA-PBE level of DFT.

Properties
VASP energy (eV per atom): -4.2974

Unit cell a=8.871 b=8.871 c=8.871 alpha=149.41 beta=131.50 gamma=58.43
Atoms (fractional coordinates):
Nd 0.128 0.128 0.000
Nd 0.872 0.872 0.000
Dy 0.500 0.000 0.500
Ag 0.130 0.328 0.802
Ag 0.473 0.672 0.802
Ag 0.527 0.328 0.198
Ag 0.870 0.672 0.198
Sn 0.200 0.500 0.700
Sn 0.289 0.789 0.500
Sn 0.711 0.211 0.500
Sn 0.800 0.500 0.300

=====

| no. | mass density (Mg/m³) |
| --- | --- |
| 1 | 8.52 |
| 2 | 9.15 |
| 3 | 6.91 |
| 4 | 10.19 |
| 5 | 7.27 |
| 6 | 8.54 |